# La2IrN2 | Alexandria | PBE | relaxed
data_La2IrN2
_symmetry_space_group_name_H-M 'I 4/m m m'
_symmetry_Int_Tables_number 139
_symmetry_space_group_name_Hall '-I 4 2'
_cell_length_a 5.046
_cell_length_b 5.046
_cell_length_c 8.816
_cell_angle_alpha 90.00
_cell_angle_beta 90.00
_cell_angle_gamma 90.00
loop_
_atom_site_label
_atom_site_fract_x
_atom_site_fract_y
_atom_site_fract_z
La1 0.000 0.500 0.250
Ir1 0.000 0.000 0.000
N1 0.000 0.000 0.224
# E (eV/atom): -7.81
# Total magnetization (μB/cell): 0.00
# E_form (uncorrected) (eV/atom): -0.73
# Crystal system: tetragonal
# Fermi-level density of states (states/eV per cell): 13.24

=====

# LaNd2IrN4 | Alexandria | PBE | relaxed
data_LaNd2IrN4
_symmetry_space_group_name_H-M 'C m c m'
_symmetry_Int_Tables_number 63
_symmetry_space_group_name_Hall '-C 2c 2'
_cell_length_a 3.523
_cell_length_b 12.162
_cell_length_c 12.044
_cell_angle_alpha 90.00
_cell_angle_beta 90.00
_cell_angle_gamma 90.00
loop_
_atom_site_label
_atom_site_fract_x
_atom_site_fract_y
_atom_site_fract_z
La1 0.000 0.110 0.250
Nd1 0.000 0.369 0.045
Ir1 0.000 0.152 0.750
N1 0.000 0.000 0.000
N2 0.000 0.274 0.634
N3 0.000 0.442 0.250
# E (eV/atom): -7.88
# Total magnetization (μB/cell): 0.00
# E_form (uncorrected) (eV/atom): -0.80
# Crystal system: orthorhombic
# Fermi-level density of states (states/eV per cell): 11.95

=====

# La2NiIrN | Alexandria | PBE | relaxed
data_La2NiIrN
_symmetry_space_group_name_H-M 'P 4/m m m'
_symmetry_Int_Tables_number 123
_symmetry_space_group_name_Hall '-P 4 2'
_cell_length_a 5.218
_cell_length_b 5.218
_cell_length_c 3.811
_cell_angle_alpha 90.00
_cell_angle_beta 90.00
_cell_angle_gamma 90.00
loop_
_atom_site_label
_atom_site_fract_x
_atom_site_fract_y
_atom_site_fract_z
La1 0.000 0.500 0.000
Ni1 0.000 0.000 0.500
Ir1 0.500 0.500 0.500
N1 0.500 0.500 0.000
# E (eV/atom): -7.17
# Total magnetization (μB/cell): 0.00
# E_form (uncorrected) (eV/atom): -0.60
# Crystal system: tetragonal
# Fermi-level density of states (states/eV per cell): 3.00

=====

# La2NiIrN | Alexandria | PBE | relaxed
data_La2NiIrN
_symmetry_space_group_name_H-M 'P 4/m m m'
_symmetry_Int_Tables_number 123
_symmetry_space_group_name_Hall '-P 4 2'
_cell_length_a 5.164
_cell_length_b 5.164
_cell_length_c 3.640
_cell_angle_alpha 90.00
_cell_angle_beta 90.00
_cell_angle_gamma 90.00
loop_
_atom_site_label
_atom_site_fract_x
_atom_site_fract_y
_atom_site_fract_z
La1 0.000 0.500 0.000
Ni1 0.000 0.000 0.500
Ir1 0.500 0.500 0.500
N1 0.000 0.000 0.000
# E (eV/atom): -7.31
# Total magnetization (μB/cell): 0.00
# E_form (uncorrected) (eV/atom): -0.74
# Crystal system: tetragonal
# Fermi-level density of states (states/eV per cell): 2.91

=====

# La2IrPbN | Alexandria | PBE | relaxed
data_La2IrPbN
_symmetry_space_group_name_H-M 'P 4/m m m'
_symmetry_Int_Tables_number 123
_symmetry_space_group_name_Hall '-P 4 2'
_cell_length_a 5.466
_cell_length_b 5.466
_cell_length_c 3.906
_cell_angle_alpha 90.00
_cell_angle_beta 90.00
_cell_angle_gamma 90.00
loop_
_atom_site_label
_atom_site_fract_x
_atom_site_fract_y
_atom_site_fract_z
La1 0.000 0.500 0.000
Ir1 0.000 0.000 0.500
Pb1 0.500 0.500 0.500
N1 0.000 0.000 0.000
# E (eV/atom): -6.83
# Total magnetization (μB/cell): 0.00
# E_form (uncorrected) (eV/atom): -0.68
# Crystal system: tetragonal
# Fermi-level density of states (states/eV per cell): 4.08

=====

# LaIrPdN2 | Alexandria | PBE | relaxed
data_LaIrPdN2
_symmetry_space_group_name_H-M 'P 4/m m m'
_symmetry_Int_Tables_number 123
_symmetry_space_group_name_Hall '-P 4 2'
_cell_length_a 3.930
_cell_length_b 3.930
_cell_length_c 5.202
_cell_angle_alpha 90.00
_cell_angle_beta 90.00
_cell_angle_gamma 90.00
loop_
_atom_site_label
_atom_site_fract_x
_atom_site_fract_y
_atom_site_fract_z
La1 0.000 0.000 0.000
Ir1 0.500 0.500 0.500
Pd1 0.500 0.500 0.000
N1 0.000 0.500 0.500
# E (eV/atom): -6.98
# Total magnetization (μB/cell): 0.00
# E_form (uncorrected) (eV/atom): 0.14
# Crystal system: tetragonal
# Fermi-level density of states (states/eV per cell): 2.73